Record 1
ThBe2Ir2Pt: relaxed, PBE-GGA.

a = 4.176 Å, b = 4.176 Å, c = 5.676 Å
α = 90.00°, β = 90.00°, γ = 90.00°
Sites, in units of the cell vectors:
Th  0.000  0.000  0.000
Be  0.000  0.500  0.500
Be  0.500  0.000  0.500
Ir  0.500  0.500  0.250
Ir  0.500  0.500  0.750
Pt  0.000  0.000  0.500

Output
formation enthalpy at 0 K: -0.371 eV per atom
final energy: -40.860 eV for the cell shown

***

Record 2
Th2Be3Ir4Pt: relaxed, PBE-GGA.

a = 3.968 Å, b = 3.968 Å, c = 10.566 Å
α = 90.00°, β = 90.00°, γ = 90.00°
Sites, in units of the cell vectors:
Th  0.000  0.500  0.239
Th  0.500  0.000  0.761
Be  0.000  0.500  0.886
Be  0.500  0.000  0.114
Be  0.500  0.500  0.500
Ir  0.000  0.000  0.000
Ir  0.000  0.500  0.667
Ir  0.500  0.000  0.333
Ir  0.500  0.500  0.000
Pt  0.000  0.000  0.500

Output
formation enthalpy at 0 K: -0.652 eV per atom
final energy: -74.019 eV for the cell shown

***

> What is the final energy in the first record?

-40.860 eV for the cell shown

***

> final energy of number 1 (ThBe2Ir2Pt)?

-40.860 eV for the cell shown

***

> Among the records above, which one has the lowest final energy?

Th2Be3Ir4Pt